# 1
{
  "formula": "Sc2SeCl2",
  "functional": "PBE-GGA",
  "state": "optimized geometry",
  "lattice": [[7.871, 0.000, 0.000], [0.000, 7.871, 0.000], [0.000, 0.000, 3.157]],
  "species": ["Sc", "Sc", "Sc", "Sc", "Se", "Se", "Cl", "Cl", "Cl", "Cl"],
  "fractional_positions": [[0.178, 0.322, 0.000], [0.322, 0.822, 0.000], [0.678, 0.178, 0.000], [0.822, 0.678, 0.000], [0.000, 0.000, 0.500], [0.500, 0.500, 0.500], [0.125, 0.625, 0.500], [0.375, 0.125, 0.500], [0.625, 0.875, 0.500], [0.875, 0.375, 0.500]],
  "dft_energy_ha_per_atom": -0.183,
  "n_ef_per_ev_cell": 10.50,
  "e_form_raw_ev_per_atom": -0.999,
  "sg": "P4/mbm, No. 127"
}

# 2
{
  "formula": "Np2AlNi3Ge4",
  "functional": "PBE-GGA",
  "state": "optimized geometry",
  "lattice": [[4.061, 0.000, 0.000], [0.000, 4.061, 0.000], [0.000, 0.000, 10.160]],
  "species": ["Np", "Np", "Al", "Ni", "Ni", "Ni", "Ge", "Ge", "Ge", "Ge"],
  "fractional_positions": [[0.000, 0.500, 0.241], [0.500, 0.000, 0.759], [0.000, 0.000, 0.500], [0.000, 0.500, 0.877], [0.500, 0.000, 0.123], [0.500, 0.500, 0.500], [0.000, 0.000, 0.000], [0.000, 0.500, 0.648], [0.500, 0.000, 0.352], [0.500, 0.500, 0.000]],
  "dft_energy_ha_per_atom": -0.253,
  "formation_enthalpy_0k_ev_per_atom": -0.35,
  "n_ef_per_ev_cell": 19.19,
  "sg": "P-4m2, No. 115"
}

# 3
{
  "formula": "MnSbRh2",
  "functional": "PBE-GGA",
  "state": "optimized geometry",
  "lattice": [[4.672, -1.613, 0.000], [4.672, 1.613, 0.000], [-1.180, 0.000, 4.271]],
  "species": ["Mn", "Sb", "Rh", "Rh"],
  "fractional_positions": [[0.000, 0.000, 0.000], [0.244, 0.244, 0.633], [0.506, 0.506, 0.498], [0.737, 0.737, 0.119]],
  "dft_energy_ha_per_atom": -0.265,
  "n_ef_per_ev_cell": 2.79,
  "e_form_raw_ev_per_atom": -0.226,
  "sg": "Cm, No. 8"
}